Entry 1:
VASP calculation (GGA-PBE) on a geometry-optimized LaHo2Os structure.

Results
As for the volume: 342.3 Å³/cell. The value obtained for the density of states at the Fermi level is 19.8 states/eV per cell. Its energy of formation from the pure elements is 219 meV/atom. The energy above the most stable polymorph in this dataset is 0.445 eV/atom.

Geometry as CIF:
```
data_LaHo2Os
_space_group_name_H-M_alt 'R -3 m'
_space_group_IT_number 166
_space_group_name_Hall '-R 3 2"'
_cell_length_a 3.4692
_cell_length_b 3.4692
_cell_length_c 32.8379
_cell_angle_alpha 90.00
_cell_angle_beta 90.00
_cell_angle_gamma 120.00
loop_
_atom_site_label
_atom_site_type_symbol
_atom_site_fract_x
_atom_site_fract_y
_atom_site_fract_z
La1 La 0.0000 0.0000 0.0000
Ho1 Ho 0.0000 0.0000 0.1069
Os1 Os 0.0000 0.0000 0.5000
```

---

Entry 2:
VASP calculation (GGA-PBE) on a geometry-optimized La2HoOs structure.

Results
As for the volume: 468.5 Å³/cell. The value obtained for the density of states at the Fermi level is 17.3 states/eV per cell. Its energy of formation from the pure elements is -168 meV/atom. The energy above the most stable polymorph in this dataset is 0.000 eV/atom.

Geometry as CIF:
```
data_La2HoOs
_space_group_name_H-M_alt 'P n m a'
_space_group_IT_number 62
_cell_length_a 7.464
_cell_length_b 9.761
_cell_length_c 6.431
_cell_angle_alpha 90.00
_cell_angle_beta 90.00
_cell_angle_gamma 90.00
loop_
_space_group_symop_operation_xyz
'x,y,z'
'-x,-y,-z'
'-x+1/2,-y,z+1/2'
'x+1/2,y,-z+1/2'
'x+1/2,-y+1/2,-z+1/2'
'-x+1/2,y+1/2,z+1/2'
'-x,y+1/2,-z'
'x,-y+1/2,z'
loop_
_atom_site_label
_atom_site_type_symbol
_atom_site_fract_x
_atom_site_fract_y
_atom_site_fract_z
La1 La 0.175 0.066 0.172
Ho1 Ho 0.044 0.250 0.648
Os1 Os 0.116 0.750 0.954
```

---

Entry 3:
VASP calculation (GGA-PBE) on a geometry-optimized La3HoOs structure.

Results
As for the volume: 180.7 Å³/cell. The value obtained for the density of states at the Fermi level is 5.7 states/eV per cell. Its energy of formation from the pure elements is 50 meV/atom.

Geometry as CIF:
```
data_La3HoOs
_space_group_name_H-M_alt 'P m -3 m'
_space_group_IT_number 221
_space_group_name_Hall '-P 4 2 3'
_cell_length_a 5.653
_cell_length_b 5.653
_cell_length_c 5.653
_cell_angle_alpha 90.00
_cell_angle_beta 90.00
_cell_angle_gamma 90.00
loop_
_atom_site_label
_atom_site_type_symbol
_atom_site_fract_x
_atom_site_fract_y
_atom_site_fract_z
La1 La 0.000 0.000 0.500
Ho1 Ho 0.500 0.500 0.500
Os1 Os 0.000 0.000 0.000
```

---

Entry 4:
VASP calculation (GGA-PBE) on a geometry-optimized LaHo3Os structure.

Results
As for the volume: 160.9 Å³/cell. The value obtained for the density of states at the Fermi level is 7.2 states/eV per cell. Its energy of formation from the pure elements is -37 meV/atom.

Geometry as CIF:
```
data_LaHo3Os
_space_group_name_H-M_alt 'P m -3 m'
_space_group_IT_number 221
_space_group_name_Hall '-P 4 2 3'
_cell_length_a 5.439
_cell_length_b 5.439
_cell_length_c 5.439
_cell_angle_alpha 90.00
_cell_angle_beta 90.00
_cell_angle_gamma 90.00
loop_
_atom_site_label
_atom_site_type_symbol
_atom_site_fract_x
_atom_site_fract_y
_atom_site_fract_z
La1 La 0.000 0.000 0.000
Ho1 Ho 0.000 0.500 0.500
Os1 Os 0.500 0.500 0.500
```